Record 1
The following is a DFT calculation (PBE) of KMg4In5 after structural relaxation.

Output
raw total energy	-21.91	eV for the cell shown
formation energy from the elements	-0.74	eV/f.u.
crystal system	tetragonal

Lattice parameters (Å, degrees): 3.295 3.295 23.280 90.00 90.00 90.00
Atoms (fractional coordinates):
K 0.000 0.000 0.000
Mg 0.000 0.000 0.215
Mg 0.000 0.000 0.405
Mg 0.000 0.000 0.595
Mg 0.000 0.000 0.785
In 0.500 0.500 0.123
In 0.500 0.500 0.310
In 0.500 0.500 0.500
In 0.500 0.500 0.690
In 0.500 0.500 0.877

***

Record 2
The following is a DFT calculation (PBE) of Hf6Sn3Mo after structural relaxation.

Output
raw total energy	-166.20	eV for the cell shown
formation energy from the elements	-0.54	eV/f.u.
crystal system	orthorhombic

Lattice parameters (Å, degrees): 9.362 9.362 5.755 90.00 90.00 118.91
Atoms (fractional coordinates):
Hf 0.035 0.965 0.500
Hf 0.075 0.594 0.472
Hf 0.249 0.398 0.813
Hf 0.279 0.721 0.959
Hf 0.398 0.249 0.313
Hf 0.406 0.925 0.472
Hf 0.594 0.075 0.972
Hf 0.602 0.751 0.813
Hf 0.721 0.279 0.459
Hf 0.751 0.602 0.313
Hf 0.925 0.406 0.972
Hf 0.965 0.035 0.000
Sn 0.092 0.299 0.325
Sn 0.299 0.092 0.825
Sn 0.411 0.589 0.337
Sn 0.589 0.411 0.837
Sn 0.701 0.908 0.325
Sn 0.908 0.701 0.825
Mo 0.140 0.860 0.177
Mo 0.860 0.140 0.677

***

Record 3
The following is a DFT calculation (PBE) of CuC3 after structural relaxation.

Output
raw total energy	-24.28	eV for the cell shown
formation energy from the elements	7.49	eV/f.u.
energy above the most stable polymorph in this dataset	1.272	eV per atom
crystal system	orthorhombic

Lattice parameters (Å, degrees): 3.257 3.257 5.544 90.00 90.00 137.32
Atoms (fractional coordinates):
Cu 0.000 0.000 0.000
C 0.000 0.000 0.500
C 0.500 0.500 0.324
C 0.500 0.500 0.676

***

Record 4
The following is a DFT calculation (PBE) of CsTeH after structural relaxation.

Output
raw total energy	-8.93	eV for the cell shown
energy above the most stable polymorph in this dataset	0.076	eV per atom
crystal system	tetragonal

Lattice parameters (Å, degrees): 5.862 5.862 5.862 123.74 123.74 83.64
Atoms (fractional coordinates):
Cs 0.000 0.000 0.000
Te 0.440 0.440 0.000
H 0.633 0.633 0.000

***

What is the formula in the second record?
Hf6Sn3Mo

***

Which of these has the lowest raw total energy?
Hf6Sn3Mo